# CaLa2Co2Sb2Pb2O12

CaLa2Co2Sb2Pb2O12 after structural relaxation (PBE with a Hubbard U, Alexandria).

a b c (Å): 5.9043 6.1171 9.1835
angles (deg): 88.55 82.29 84.56
Closest atoms and distances in Å follow each position.
Positions (direct):
Ca: 0.0000 0.0000 0.0000  4 O 2.19-2.35
La: 0.2852 0.1953 0.2550  6 O 2.30-2.51
La: 0.7492 0.5332 0.6655  7 O 2.47-2.71
Co: 0.2749 0.6188 0.4391  4 O 1.99-2.19
Co: 0.5737 0.0593 0.8586  4 O 1.93-2.11
Sb: 0.2098 0.5497 0.8780  3 O 1.97-2.02
Sb: 0.7503 0.0873 0.4401  6 O 1.98-2.10
Pb: 0.1966 0.0273 0.6415  5 O 2.37-2.65
Pb: 0.5967 0.6518 0.1224  2 O 2.24-2.41
O: 0.0101 0.2777 0.4846  1 Sb 2.10
O: 0.0217 0.3118 0.8449  1 Sb 1.97
O: 0.2503 0.5710 0.2289  1 Co 1.99
O: 0.3299 0.6034 0.6644  1 Sb 2.02, 1 Co 2.14
O: 0.3825 0.9737 0.0374  1 Co 1.95
O: 0.4782 0.9158 0.4098  1 Sb 2.05, 1 Co 2.26
O: 0.5111 0.3927 0.9165  1 Sb 2.01, 1 Co 2.11
O: 0.5550 0.3633 0.3945  1 Sb 2.02, 1 Co 2.17
O: 0.6222 0.1529 0.6518  1 Co 1.96, 1 Sb 2.03
O: 0.8031 0.8105 0.8485  1 Co 1.93
O: 0.8969 0.0787 0.2327  1 Sb 1.98, 1 Ca 2.19
O: 0.9503 0.8169 0.5039  1 Sb 2.06, 1 Co 2.19

Values from the calculation:
- DOS(E_F) (states/eV/cell) = 0.000
- E above lowest polymorph (meV/atom) = 48.9
- space group = P1, No. 1
- total magnetization (μB/f.u.) = 0.034
- density (g/cm3) = 6.53